1.
This record from the Alexandria database describes a relaxed Ti2CdIrN crystal. The functional is PBE.

Its uncorrected energy is -7.242 eV per atom. For the total magnetic moment, the calculation gives 0.00 μB/atom. Its uncorrected formation energy is -0.4642 eV/atom. The theoretical density comes out at 9.4 g/cm3.

The space group is P4/mmm (No. 123) and the conventional cell measures 4.067, 4.067 and 4.440 Å, with angles of 90.00, 90.00 and 90.00 degrees. The inequivalent atoms are Ti at (0.000, 0.500, 0.000), Cd at (0.000, 0.000, 0.500), Ir at (0.500, 0.500, 0.500) and N at (0.000, 0.000, 0.000).


2.
This record from the Alexandria database describes a relaxed Nd3Sm4Tm4 crystal. The functional is PBE.

The value obtained for the formation energy is 155 meV/atom. Its uncorrected energy is -4.488 eV per atom. For the total magnetic moment, the calculation gives 0.00 μB/atom. The theoretical density comes out at 7.7 g/cm3.

The space group is Amm2 (No. 38) and the conventional cell measures 10.702, 5.719 and 12.049 Å, with angles of 90.00, 90.00 and 90.00 degrees. The inequivalent atoms are Nd at (0.000, 0.000, 0.000), Nd at (0.289, 0.000, 0.157), Sm at (0.000, 0.000, 0.705), Sm at (0.213, 0.000, 0.498), Sm at (0.500, 0.000, 0.632), Tm at (0.000, 0.000, 0.303), Tm at (0.302, 0.000, 0.851) and Tm at (0.500, 0.000, 0.359).


3.
This record from the Alexandria database describes a relaxed Pm2AsBr crystal. The functional is PBE.

Its uncorrected energy is -5.360 eV per atom. For the total magnetic moment, the calculation gives 0.00 μB/atom. Its uncorrected formation energy is -1.4045 eV/atom. The theoretical density comes out at 6.6 g/cm3.

The space group is R3m (No. 160, hexagonal axes) and the conventional cell measures 4.1519, 4.1519 and 22.4931 Å, with angles of 90.00, 90.00 and 120.00 degrees. The inequivalent atoms are Pm at (0.0000, 0.0000, 0.0000), Pm at (0.0000, 0.0000, 0.1930), As at (0.0000, 0.0000, 0.5979) and Br at (0.0000, 0.0000, 0.4286).


4.
This record from the Alexandria database describes a relaxed PmYHg6 crystal. The functional is PBE.

The value obtained for the formation energy is -338 meV/atom. Its uncorrected energy is -1.966 eV per atom. For the total magnetic moment, the calculation gives 0.00 μB/atom. The theoretical density comes out at 11.9 g/cm3.

The space group is P4/mmm (No. 123) and the conventional cell measures 4.704, 4.704 and 9.078 Å, with angles of 90.00, 90.00 and 90.00 degrees. The inequivalent atoms are Pm at (0.000, 0.000, 0.000), Y at (0.000, 0.000, 0.500), Hg at (0.000, 0.500, 0.254), Hg at (0.500, 0.500, 0.000) and Hg at (0.500, 0.500, 0.500).